No. 1
Crystalline Y2MgZr at its relaxed geometry, computed with GGA-PBE.

Calculated values
Formation energy   0.2 eV per formula unit
Crystal system   tetragonal
Size of the total moment   0.0 μB/f.u.

Cell lengths 3.409, 3.409, 9.401 Å; angles 90.00, 90.00, 90.00 degrees
Fractional positions:
Y 0.000 0.000 0.000
Y 0.500 0.500 0.291
Mg 0.500 0.500 0.751
Zr 0.000 0.000 0.529

No. 2
Crystalline Y2MgZr at its relaxed geometry, computed with GGA-PBE.

Calculated values
Formation energy   0.4 eV per formula unit
Crystal system   tetragonal
Size of the total moment   0.0 μB/f.u.

Cell lengths 5.891, 5.891, 5.891 Å; angles 132.88, 132.88, 68.85 degrees
Fractional positions:
Y 0.000 0.000 0.000
Y 0.750 0.250 0.500
Mg 0.500 0.500 0.000
Zr 0.250 0.750 0.500

No. 3
Crystalline YMg2Zr at its relaxed geometry, computed with GGA-PBE.

Calculated values
Polymorph energy (0 for the lowest one)   7.0 kJ/mol of atoms
Formation energy   0.2 eV per formula unit
Crystal system   monoclinic
Size of the total moment   0.0 μB/f.u.

Cell lengths 5.992, 5.992, 5.522 Å; angles 112.22, 112.22, 32.73 degrees
Fractional positions:
Y 0.000 0.000 0.000
Mg 0.237 0.237 0.658
Mg 0.502 0.502 0.501
Zr 0.757 0.757 0.176

No. 4
Crystalline YMgZr3 at its relaxed geometry, computed with GGA-PBE.

Calculated values
Polymorph energy (0 for the lowest one)   0.0 kJ/mol of atoms
Formation energy   4.5 eV per formula unit
Crystal system   cubic
Size of the total moment   1.2 μB/f.u.

Cell lengths 5.180, 5.180, 5.180 Å; angles 90.00, 90.00, 90.00 degrees
Fractional positions:
Y 0.000 0.000 0.000
Mg 0.500 0.500 0.500
Zr 0.000 0.500 0.500
Zr 0.500 0.000 0.500
Zr 0.500 0.500 0.000

No. 5
Crystalline Y2MgZr at its relaxed geometry, computed with GGA-PBE.

Calculated values
Formation energy   0.3 eV per formula unit
Crystal system   trigonal
Size of the total moment   0.0 μB/f.u.

Cell lengths 11.275, 11.275, 11.275 Å; angles 17.36, 17.36, 17.36 degrees
Fractional positions:
Y 0.000 0.000 0.000
Y 0.173 0.173 0.173
Mg 0.753 0.753 0.753
Zr 0.587 0.587 0.587

No. 6
Crystalline Y2MgZr at its relaxed geometry, computed with GGA-PBE.

Calculated values
Formation energy   0.2 eV per formula unit
Crystal system   orthorhombic
Size of the total moment   0.0 μB/f.u.

Cell lengths 3.474, 4.588, 6.907 Å; angles 90.00, 90.00, 90.00 degrees
Fractional positions:
Y 0.000 0.000 0.240
Y 0.000 0.000 0.760
Mg 0.500 0.500 0.500
Zr 0.500 0.500 0.000

No. 7
Crystalline YbMg3 at its relaxed geometry, computed with GGA-PBE.

Calculated values
Formation energy   -0.2 eV per formula unit
Crystal system   cubic
Size of the total moment   0.0 μB/f.u.

Cell lengths 5.269, 5.269, 5.269 Å; angles 60.00, 60.00, 60.00 degrees
Fractional positions:
Yb 0.000 0.000 0.000
Mg 0.250 0.250 0.250
Mg 0.500 0.500 0.500
Mg 0.750 0.750 0.750

No. 8
Crystalline Yb19Mg8 at its relaxed geometry, computed with GGA-PBE.

Calculated values
Formation energy   -2.8 eV per formula unit
Crystal system   cubic
Size of the total moment   2.8 μB/f.u.

Cell lengths 10.369, 10.369, 10.369 Å; angles 109.47, 109.47, 109.47 degrees
Fractional positions:
Yb 0.000 0.000 0.000
Yb 0.000 0.317 0.317
Yb 0.000 0.329 0.671
Yb 0.000 0.671 0.329
Yb 0.000 0.683 0.683
Yb 0.317 0.000 0.317
Yb 0.317 0.317 0.000
Yb 0.329 0.000 0.671
Yb 0.329 0.329 0.658
Yb 0.329 0.658 0.329
Yb 0.329 0.671 0.000
Yb 0.342 0.671 0.671
Yb 0.658 0.329 0.329
Yb 0.671 0.000 0.329
Yb 0.671 0.329 0.000
Yb 0.671 0.342 0.671
Yb 0.671 0.671 0.342
Yb 0.683 0.000 0.683
Yb 0.683 0.683 0.000
Mg 0.000 0.000 0.347
Mg 0.000 0.000 0.653
Mg 0.000 0.347 0.000
Mg 0.000 0.653 0.000
Mg 0.347 0.000 0.000
Mg 0.347 0.347 0.347
Mg 0.653 0.000 0.000
Mg 0.653 0.653 0.653

No. 9
Crystalline YbMg3 at its relaxed geometry, computed with GGA-PBE.

Calculated values
Formation energy   -0.3 eV per formula unit
Crystal system   hexagonal
Size of the total moment   0.2 μB/f.u.

Cell lengths 6.735, 6.735, 5.312 Å; angles 90.00, 90.00, 120.00 degrees
Fractional positions:
Yb 0.333 0.667 0.250
Yb 0.667 0.333 0.750
Mg 0.161 0.323 0.750
Mg 0.161 0.839 0.750
Mg 0.323 0.161 0.250
Mg 0.677 0.839 0.750
Mg 0.839 0.161 0.250
Mg 0.839 0.677 0.250

No. 10
Crystalline Mg5Zn24 at its relaxed geometry, computed with GGA-PBE.

Calculated values
Formation energy   -1.0 eV per formula unit
Crystal system   cubic
Size of the total moment   0.0 μB/f.u.

Cell lengths 8.445, 8.445, 8.445 Å; angles 109.47, 109.47, 109.47 degrees
Fractional positions:
Mg 0.000 0.000 0.000
Mg 0.000 0.000 0.629
Mg 0.000 0.629 0.000
Mg 0.371 0.371 0.371
Mg 0.629 0.000 0.000
Zn 0.000 0.191 0.375
Zn 0.000 0.375 0.191
Zn 0.000 0.397 0.677
Zn 0.000 0.677 0.397
Zn 0.184 0.809 0.809
Zn 0.191 0.000 0.375
Zn 0.191 0.375 0.000
Zn 0.281 0.603 0.603
Zn 0.323 0.323 0.719
Zn 0.323 0.719 0.323
Zn 0.375 0.000 0.191
Zn 0.375 0.191 0.000
Zn 0.397 0.000 0.677
Zn 0.397 0.677 0.000
Zn 0.603 0.281 0.603
Zn 0.603 0.603 0.281
Zn 0.625 0.625 0.816
Zn 0.625 0.816 0.625
Zn 0.677 0.000 0.397
Zn 0.677 0.397 0.000
Zn 0.719 0.323 0.323
Zn 0.809 0.184 0.809
Zn 0.809 0.809 0.184
Zn 0.816 0.625 0.625

No. 11
Crystalline Mg3Zn2 at its relaxed geometry, computed with GGA-PBE.

Calculated values
Polymorph energy (0 for the lowest one)   4.1 kJ/mol of atoms
Formation energy   -0.1 eV per formula unit
Crystal system   orthorhombic
Size of the total moment   0.0 μB/f.u.

Cell lengths 7.581, 5.772, 8.745 Å; angles 58.79, 40.63, 80.58 degrees
Fractional positions:
Mg 0.000 0.000 0.000
Mg 0.250 0.250 0.250
Mg 0.353 0.656 0.442
Mg 0.656 0.353 0.550
Mg 0.700 0.808 0.594
Mg 0.808 0.700 0.897
Zn 0.111 0.467 0.981
Zn 0.269 0.810 0.139
Zn 0.467 0.111 0.440
Zn 0.810 0.269 0.783

No. 12
Crystalline MgZn2 at its relaxed geometry, computed with GGA-PBE.

Calculated values
Formation energy   0.3 eV per formula unit
Crystal system   hexagonal
Size of the total moment   0.0 μB/f.u.

Cell lengths 6.692, 6.692, 4.500 Å; angles 90.00, 90.00, 120.00 degrees
Fractional positions:
Mg 0.000 0.000 0.000
Mg 0.333 0.667 0.500
Mg 0.667 0.333 0.500
Zn 0.000 0.226 0.500
Zn 0.000 0.435 0.000
Zn 0.226 0.000 0.500
Zn 0.435 0.000 0.000
Zn 0.565 0.565 0.000
Zn 0.774 0.774 0.500

No. 13
Crystalline MgZn2 at its relaxed geometry, computed with GGA-PBE.

Calculated values
Formation energy   0.0 eV per formula unit
Crystal system   hexagonal
Size of the total moment   0.0 μB/f.u.

Cell lengths 3.071, 3.071, 12.884 Å; angles 90.00, 90.00, 120.00 degrees
Fractional positions:
Mg 0.000 0.000 0.174
Mg 0.000 0.000 0.826
Zn 0.000 0.000 0.500
Zn 0.667 0.333 0.000
Zn 0.667 0.333 0.346
Zn 0.667 0.333 0.654

No. 14
Crystalline Mg3Zn at its relaxed geometry, computed with GGA-PBE.

Calculated values
Formation energy   -0.2 eV per formula unit
Crystal system   hexagonal
Size of the total moment   0.0 μB/f.u.

Cell lengths 6.072, 6.072, 5.049 Å; angles 90.00, 90.00, 120.00 degrees
Fractional positions:
Mg 0.170 0.340 0.250
Mg 0.170 0.830 0.250
Mg 0.340 0.170 0.750
Mg 0.660 0.830 0.250
Mg 0.830 0.170 0.750
Mg 0.830 0.660 0.750
Zn 0.333 0.667 0.750
Zn 0.667 0.333 0.250

No. 15
Crystalline Mg3Zn2 at its relaxed geometry, computed with GGA-PBE.

Calculated values
Polymorph energy (0 for the lowest one)   16.5 kJ/mol of atoms
Formation energy   0.6 eV per formula unit
Crystal system   orthorhombic
Size of the total moment   0.0 μB/f.u.

Cell lengths 7.002, 7.002, 7.002 Å; angles 114.03, 83.70, 134.63 degrees
Fractional positions:
Mg 0.097 0.637 0.735
Mg 0.250 0.250 0.000
Mg 0.403 0.137 0.540
Mg 0.597 0.863 0.460
Mg 0.750 0.750 0.000
Mg 0.903 0.363 0.265
Zn 0.166 0.269 0.435
Zn 0.334 0.769 0.103
Zn 0.666 0.231 0.897
Zn 0.834 0.731 0.565

No. 16
Crystalline MgZn5 at its relaxed geometry, computed with GGA-PBE.

Calculated values
Formation energy   0.1 eV per formula unit
Crystal system   tetragonal
Size of the total moment   0.0 μB/f.u.

Cell lengths 2.833, 2.833, 11.973 Å; angles 90.00, 90.00, 90.00 degrees
Fractional positions:
Mg 0.000 0.000 0.000
Zn 0.000 0.000 0.340
Zn 0.000 0.000 0.660
Zn 0.500 0.500 0.179
Zn 0.500 0.500 0.500
Zn 0.500 0.500 0.821

No. 17
Crystalline MgZn at its relaxed geometry, computed with GGA-PBE.

Calculated values
Formation energy   -0.1 eV per formula unit
Crystal system   hexagonal
Size of the total moment   0.0 μB/f.u.

Cell lengths 5.292, 5.292, 9.004 Å; angles 90.00, 90.00, 120.00 degrees
Fractional positions:
Mg 0.000 0.000 0.000
Mg 0.000 0.000 0.500
Mg 0.333 0.667 0.068
Mg 0.333 0.667 0.432
Mg 0.667 0.333 0.568
Mg 0.667 0.333 0.932
Zn 0.171 0.343 0.750
Zn 0.171 0.829 0.750
Zn 0.343 0.171 0.250
Zn 0.657 0.829 0.750
Zn 0.829 0.171 0.250
Zn 0.829 0.657 0.250

No. 18
Crystalline MgZn2 at its relaxed geometry, computed with GGA-PBE.

Calculated values
Formation energy   0.0 eV per formula unit
Crystal system   orthorhombic
Size of the total moment   0.0 μB/f.u.

Cell lengths 8.966, 8.966, 8.966 Å; angles 161.27, 151.62, 34.22 degrees
Fractional positions:
Mg 0.366 0.116 0.250
Mg 0.634 0.884 0.750
Zn 0.061 0.311 0.750
Zn 0.211 0.461 0.750
Zn 0.789 0.539 0.250
Zn 0.939 0.689 0.250

No. 19
Crystalline MgZn2 at its relaxed geometry, computed with GGA-PBE.

Calculated values
Formation energy   -0.4 eV per formula unit
Crystal system   cubic
Size of the total moment   0.0 μB/f.u.

Cell lengths 5.217, 5.217, 5.217 Å; angles 60.00, 60.00, 60.00 degrees
Fractional positions:
Mg 0.125 0.125 0.125
Mg 0.875 0.875 0.875
Zn 0.000 0.500 0.500
Zn 0.500 0.000 0.500
Zn 0.500 0.500 0.000
Zn 0.500 0.500 0.500

No. 20
Crystalline MgZn at its relaxed geometry, computed with GGA-PBE.

Calculated values
Formation energy   0.0 eV per formula unit
Crystal system   orthorhombic
Size of the total moment   0.0 μB/f.u.

Cell lengths 4.797, 7.438, 7.438 Å; angles 24.80, 90.00, 90.00 degrees
Fractional positions:
Mg 0.000 0.000 0.000
Mg 0.000 0.324 0.324
Mg 0.500 0.553 0.553
Zn 0.000 0.663 0.663
Zn 0.500 0.219 0.219
Zn 0.500 0.880 0.880